Record 1
This record from the Open Quantum Materials Database describes an optimized crystal structure of ScIn2AgCl6. The functional is PBE.

Properties
energy = -38.1 eV for the cell shown
SG = Fm-3m

Lattice parameters (Å, degrees): 7.3075 7.3075 7.3075 60.00 60.00 60.00
Element x y z (fractional)
Sc: 0.0000 0.0000 0.0000
In: 0.2500 0.2500 0.2500
In: 0.7500 0.7500 0.7500
Ag: 0.5000 0.5000 0.5000
Cl: 0.2402 0.2402 0.7598
Cl: 0.2402 0.7598 0.2402
Cl: 0.2402 0.7598 0.7598
Cl: 0.7598 0.2402 0.2402
Cl: 0.7598 0.2402 0.7598
Cl: 0.7598 0.7598 0.2402



Record 2
This record from the Open Quantum Materials Database describes an optimized crystal structure of NbTlAuO3. The functional is PBE.

Properties
energy = -157.9 eV for the cell shown
SG = Pnma

Lattice parameters (Å, degrees): 11.9918 3.1157 10.9691 90.00 90.00 90.00
Element x y z (fractional)
Nb: 0.0348 0.2500 0.1360
Nb: 0.4652 0.7500 0.6360
Nb: 0.5348 0.2500 0.3640
Nb: 0.9652 0.7500 0.8640
Tl: 0.2247 0.7500 0.4158
Tl: 0.2753 0.2500 0.9158
Tl: 0.7247 0.7500 0.0842
Tl: 0.7753 0.2500 0.5842
Au: 0.0376 0.2500 0.5918
Au: 0.4624 0.7500 0.0918
Au: 0.5376 0.2500 0.9082
Au: 0.9624 0.7500 0.4082
O: 0.0572 0.2500 0.7973
O: 0.0877 0.7500 0.0242
O: 0.1579 0.2500 0.2296
O: 0.3421 0.7500 0.7296
O: 0.4123 0.2500 0.5242
O: 0.4428 0.7500 0.2973
O: 0.5572 0.2500 0.7027
O: 0.5877 0.7500 0.4758
O: 0.6579 0.2500 0.2704
O: 0.8421 0.7500 0.7704
O: 0.9123 0.2500 0.9758
O: 0.9428 0.7500 0.2027



Record 3
This record from the Open Quantum Materials Database describes an optimized crystal structure of CdAgSnAu. The functional is PBE.

Properties
energy = -11.1 eV for the cell shown
SG = F-43m

Lattice parameters (Å, degrees): 4.9204 4.9204 4.9204 60.00 60.00 60.00
Element x y z (fractional)
Cd: 0.0000 0.0000 0.0000
Ag: 0.7500 0.7500 0.7500
Sn: 0.5000 0.5000 0.5000
Au: 0.2500 0.2500 0.2500



Record 4
This record from the Open Quantum Materials Database describes an optimized crystal structure of Mo2S. The functional is PBE.

Properties
energy = -49.2 eV for the cell shown
SG = P4_2/mnm

Lattice parameters (Å, degrees): 5.3494 5.3494 3.5007 90.00 90.00 90.00
Element x y z (fractional)
Mo: 0.1964 0.1964 0.0000
Mo: 0.3036 0.6964 0.5000
Mo: 0.6964 0.3036 0.5000
Mo: 0.8036 0.8036 0.0000
S: 0.0000 0.0000 0.5000
S: 0.5000 0.5000 0.0000



What is the energy in the second record? -157.9 eV for the cell shown